(1)
Zn2SbAu | GGA-PBEsol | relaxed

The calculation puts the density of states at the Fermi level at 1.60 states/eV/f.u. The calculated volume is 75 Å³ per cell. The calculation puts the uncorrected formation energy at 103.7 meV/atom.

```
Zn2SbAu
1.0
1.610 0.930 8.305
-1.610 0.930 8.305
0.000 -1.859 8.305
Zn Sb Au
2 1 1
direct
0.000 0.000 0.000
0.260 0.260 0.260
0.500 0.500 0.500
0.741 0.741 0.741
```



(2)
ZnSb2Au | GGA-PBEsol | relaxed

The calculation puts the density of states at the Fermi level at 1.35 states/eV/f.u. The calculated volume is 91 Å³ per cell. The calculation puts the uncorrected formation energy at -20.2 meV/atom.

```
ZnSb2Au
1.0
4.496 0.000 0.000
0.000 2.711 3.725
0.000 -2.711 3.725
Zn Sb Au
1 2 1
direct
0.000 0.000 0.000
0.000 0.608 0.608
0.500 0.212 0.212
0.500 0.821 0.821
```